Below is an optimized crystal structure of SrLaRh2, with properties calculated at the GGA-PBE level. Values from VASP.

```
&SYSTEM
  ibrav = 0, nat = 4, ntyp = 3
/
ATOMIC_SPECIES
Sr 87.62 Sr.upf
La 138.91 La.upf
Rh 102.91 Rh.upf
CELL_PARAMETERS angstrom
3.4931 0.0000 0.0000
0.0000 4.8458 0.0000
0.0000 0.0000 5.8748
ATOMIC_POSITIONS angstrom
Sr 0.0000 0.0000 0.0000
La 1.7465 2.4229 2.7247
Rh 0.0000 0.0000 2.9498
Rh 1.7465 2.4229 5.4169
```

Values from the calculation:
ΔH_f (0 K) (eV per atom): -0.18
Raw total energy (eV/atom): -5.5121